# PBE with a Hubbard U V2CoBO, optimized geometry
# Spin magnetization   0.390 μB per atom
# Total energy   -5.311 eV/atom
data_V2CoBO
_chemical_formula_sum 'V2 Co1 B1 O1'
_space_group_name_H-M_alt 'P 4/m m m'
_space_group_IT_number 123
_space_group_name_Hall '-P 4 2'
_cell_length_a 4.560
_cell_length_b 4.560
_cell_length_c 3.135
_cell_angle_alpha 90.00
_cell_angle_beta 90.00
_cell_angle_gamma 90.00
loop_
_atom_site_label
_atom_site_type_symbol
_atom_site_fract_x
_atom_site_fract_y
_atom_site_fract_z
V1 V 0.000 0.500 0.000
Co1 Co 0.000 0.000 0.500
B1 B 0.500 0.500 0.000
O1 O 0.500 0.500 0.500